Record 1
{"formula": "TmAgCl", "functional": "PBE", "state": "optimized geometry", "crystal_system": "orthorhombic", "raw_formation_energy_ev_per_atom": -0.7540, "sg": "Amm2 (38)", "cell": [[3.532, 0.000, 0.000], [-1.766, 3.058, 0.000], [0.000, 0.000, 15.108]], "species": ["Tm", "Ag", "Cl", "Cl", "Tm", "Ag"], "fractional_positions": [[0.619, 0.238, 0.644], [0.286, 0.572, 0.500], [0.286, 0.571, 0.235], [0.286, 0.571, 0.765], [0.619, 0.238, 0.356], [0.572, 0.144, 0.000]]}

=====

Record 2
{"formula": "TmAg3Cl6", "functional": "PBE", "state": "optimized geometry", "crystal_system": "monoclinic", "raw_formation_energy_ev_per_atom": -1.1513, "sg": "P2_1/c (14)", "cell": [[6.908, 0.000, -0.128], [0.000, 6.869, 0.000], [-0.100, 0.000, 10.530]], "species": ["Cl", "Cl", "Cl", "Cl", "Ag", "Ag", "Tm", "Cl", "Ag", "Cl", "Tm", "Ag", "Cl", "Cl", "Cl", "Cl", "Cl", "Cl", "Ag", "Ag"], "fractional_positions": [[0.619, 0.403, 0.272], [0.381, 0.597, 0.728], [0.843, 0.681, 0.914], [0.829, 0.672, 0.557], [0.506, 0.039, 0.241], [0.006, 0.461, 0.741], [0.000, 0.000, 0.000], [0.171, 0.328, 0.443], [0.500, 0.500, 0.000], [0.119, 0.097, 0.772], [0.500, 0.500, 0.500], [0.000, 0.000, 0.500], [0.157, 0.319, 0.086], [0.329, 0.828, 0.057], [0.657, 0.181, 0.586], [0.881, 0.903, 0.228], [0.343, 0.819, 0.414], [0.671, 0.172, 0.943], [0.994, 0.539, 0.259], [0.494, 0.961, 0.759]]}

=====

Record 3
{"formula": "TmAg5Cl8", "functional": "PBE", "state": "optimized geometry", "crystal_system": "tetragonal", "raw_formation_energy_ev_per_atom": -0.9078, "sg": "I-4 (82)", "cell": [[7.190, -0.069, -2.298], [-3.852, 6.071, -2.298], [0.039, 0.069, 7.548]], "species": ["Cl", "Cl", "Cl", "Tm", "Ag", "Ag", "Ag", "Cl", "Cl", "Cl", "Cl", "Ag", "Ag", "Cl"], "fractional_positions": [[0.626, 0.876, 0.804], [0.071, 0.821, 0.196], [0.179, 0.374, 0.250], [0.250, 0.750, 0.500], [0.917, 0.328, 0.903], [0.672, 0.575, 0.590], [0.985, 0.083, 0.410], [0.567, 0.850, 0.316], [0.534, 0.251, 0.684], [0.150, 0.466, 0.717], [0.749, 0.433, 0.283], [0.425, 0.015, 0.097], [0.500, 0.500, 0.000], [0.124, 0.929, 0.750]]}

=====

Record 4
{"formula": "TmAg3Cl7", "functional": "PBE", "state": "optimized geometry", "crystal_system": "monoclinic", "raw_formation_energy_ev_per_atom": -1.0527, "sg": "Cm (8)", "cell": [[-3.778, -0.670, 5.978], [-3.098, -6.392, -0.074], [1.207, -6.251, 6.044]], "species": ["Ag", "Cl", "Cl", "Cl", "Ag", "Cl", "Ag", "Cl", "Cl", "Cl", "Tm"], "fractional_positions": [[0.781, 0.241, 0.472], [0.126, 0.531, 0.146], [0.608, 0.608, 0.278], [0.418, 0.995, 0.833], [0.241, 0.781, 0.472], [0.531, 0.126, 0.146], [0.565, 0.565, 0.973], [0.897, 0.897, 0.376], [0.995, 0.418, 0.833], [0.012, 0.012, 0.685], [0.953, 0.953, 0.033]]}

=====

Record 5
{"formula": "TmAg2Cl6", "functional": "PBE", "state": "optimized geometry", "crystal_system": "monoclinic", "raw_formation_energy_ev_per_atom": -1.1756, "sg": "C2/m (12)", "cell": [[3.888, 0.000, 0.000], [-1.944, 7.831, -0.344], [0.000, 1.529, 9.315]], "species": ["Tm", "Cl", "Ag", "Cl", "Cl", "Cl", "Cl", "Cl", "Ag"], "fractional_positions": [[0.000, 0.000, 0.500], [0.212, 0.424, 0.842], [0.192, 0.384, 0.167], [0.965, 0.930, 0.777], [0.788, 0.576, 0.158], [0.389, 0.777, 0.482], [0.035, 0.070, 0.223], [0.611, 0.223, 0.518], [0.808, 0.616, 0.833]]}

=====

Record 6
{"formula": "TmAgCl6", "functional": "PBE", "state": "optimized geometry", "crystal_system": "triclinic", "raw_formation_energy_ev_per_atom": -1.1475, "sg": "P-1 (2)", "cell": [[-1.366, -3.804, -6.308], [3.361, -6.063, -3.946], [-2.904, -6.283, 0.175]], "species": ["Tm", "Cl", "Cl", "Ag", "Cl", "Cl", "Cl", "Cl"], "fractional_positions": [[0.500, 0.500, 0.500], [0.287, 0.900, 0.165], [0.114, 0.493, 0.691], [0.000, 0.000, 0.000], [0.388, 0.788, 0.701], [0.612, 0.212, 0.299], [0.886, 0.507, 0.309], [0.713, 0.100, 0.835]]}

=====

Record 7
{"formula": "TmAg2Cl5", "functional": "PBE", "state": "optimized geometry", "crystal_system": "triclinic", "raw_formation_energy_ev_per_atom": -1.3237, "sg": "P1 (1)", "cell": [[4.689, -0.064, 2.413], [2.482, 6.806, 0.561], [-1.017, 0.587, 7.273]], "species": ["Cl", "Cl", "Cl", "Ag", "Ag", "Cl", "Tm", "Cl"], "fractional_positions": [[0.818, 0.248, 0.348], [0.563, 0.034, 0.035], [0.100, 0.718, 0.240], [0.564, 0.034, 0.536], [0.561, 0.536, 0.031], [0.308, 0.821, 0.723], [0.062, 0.035, 0.036], [0.025, 0.351, 0.829]]}

=====

Record 8
{"formula": "TmVAgCl6", "functional": "PBE", "state": "optimized geometry", "crystal_system": "trigonal", "raw_formation_energy_ev_per_atom": -1.4799, "sg": "P-31c (163)", "cell": [[6.475, 0.000, 0.000], [-3.237, 5.607, 0.000], [0.000, 0.000, 12.373]], "species": ["Cl", "Cl", "Cl", "Tm", "Ag", "Ag", "Cl", "V", "Cl", "Cl", "Cl", "Tm", "Cl", "Cl", "V", "Cl", "Cl", "Cl"], "fractional_positions": [[0.985, 0.640, 0.867], [0.015, 0.360, 0.133], [0.655, 0.640, 0.633], [0.333, 0.667, 0.750], [0.000, 0.000, 0.500], [0.000, 0.000, 0.000], [0.985, 0.345, 0.633], [0.333, 0.667, 0.250], [0.345, 0.985, 0.133], [0.640, 0.985, 0.367], [0.640, 0.655, 0.133], [0.667, 0.333, 0.250], [0.345, 0.360, 0.367], [0.655, 0.015, 0.867], [0.667, 0.333, 0.750], [0.360, 0.015, 0.633], [0.015, 0.655, 0.367], [0.360, 0.345, 0.867]]}

=====

Record 9
{"formula": "UAg2Cl7", "functional": "PBE", "state": "optimized geometry", "crystal_system": "monoclinic", "raw_formation_energy_ev_per_atom": -1.0676, "sg": "C2/c (15)", "cell": [[10.358, 0.000, 5.051], [4.351, 5.886, 4.224], [1.206, -0.399, 10.672]], "species": ["Cl", "Cl", "Ag", "Cl", "Ag", "Cl", "Cl", "Cl", "Cl", "Cl", "Cl", "Cl", "U", "U", "Cl", "Cl", "Cl", "Ag", "Ag", "Cl"], "fractional_positions": [[0.015, 0.573, 0.110], [0.322, 0.461, 0.232], [0.549, 0.954, 0.696], [0.678, 0.539, 0.768], [0.801, 0.454, 0.196], [0.697, 0.927, 0.390], [0.490, 0.250, 0.750], [0.188, 0.858, 0.951], [0.812, 0.142, 0.049], [0.014, 0.039, 0.268], [0.002, 0.358, 0.451], [0.510, 0.750, 0.250], [0.010, 0.750, 0.250], [0.990, 0.250, 0.750], [0.985, 0.427, 0.890], [0.998, 0.642, 0.549], [0.303, 0.073, 0.610], [0.199, 0.546, 0.804], [0.451, 0.046, 0.304], [0.986, 0.961, 0.732]]}

=====

Record 10
{"formula": "UAg6Cl12", "functional": "PBE", "state": "optimized geometry", "crystal_system": "trigonal", "raw_formation_energy_ev_per_atom": -0.7875, "sg": "R-3 (148)", "cell": [[-6.868, 1.188, -4.493], [5.553, 0.424, -6.145], [-0.417, -8.254, 0.685]], "species": ["Ag", "Cl", "Cl", "Cl", "Ag", "Ag", "U", "Cl", "Ag", "Ag", "Ag", "Cl", "Cl", "Cl", "Cl", "Cl", "Cl", "Cl", "Cl"], "fractional_positions": [[0.382, 0.521, 0.241], [0.285, 0.964, 0.112], [0.620, 0.842, 0.395], [0.380, 0.158, 0.605], [0.521, 0.241, 0.382], [0.479, 0.759, 0.618], [0.000, 0.000, 0.000], [0.036, 0.888, 0.715], [0.618, 0.479, 0.759], [0.241, 0.382, 0.521], [0.759, 0.618, 0.479], [0.964, 0.112, 0.285], [0.112, 0.285, 0.964], [0.842, 0.395, 0.620], [0.395, 0.620, 0.842], [0.715, 0.036, 0.888], [0.605, 0.380, 0.158], [0.158, 0.605, 0.380], [0.888, 0.715, 0.036]]}

=====

> Number 3 is which compound?

TmAg5Cl8